Entry 1:
VASP calculation (GGA-PBE) on a relaxed Li3TcIr crystal.

Output
The formation energy comes out at 1293 meV/atom. The raw total energy comes out at -3.701 eV/atom.

abc: 4.333 4.333 4.333
angles: 90.00 90.00 90.00
Space group Pm-3m (No. 221)
Unique sites:
Li1 0.000 0.000 0.500
Tc1 0.500 0.500 0.500
Ir1 0.000 0.000 0.000

Entry 2:
VASP calculation (GGA-PBE) on a relaxed CeAsRuN crystal.

Output
The raw total energy comes out at -8.086 eV/atom. For the raw formation energy, the calculation gives -100.28 kJ per mole of atoms.

abc: 4.087 4.087 8.288
angles: 90.00 90.00 90.00
Space group P4/nmm (No. 129, origin choice 2)
Unique sites:
Ce1 0.250 0.250 0.129
As1 0.250 0.250 0.660
Ru1 0.250 0.750 0.500
N1 0.250 0.750 0.000

Entry 3:
VASP calculation (GGA-PBE) on a relaxed CoCuTc2 crystal.

Output
The formation energy comes out at 367 meV/atom. The raw total energy comes out at -7.616 eV/atom.

abc: 5.935 5.935 5.935
angles: 90.00 90.00 90.00
Space group Fm-3m (No. 225)
Unique sites:
Co1 0.000 0.000 0.000
Cu1 0.000 0.000 0.500
Tc1 0.250 0.250 0.250

Entry 4:
VASP calculation (GGA-PBE) on a relaxed K3Cd2Sn4 crystal.

Output
The formation energy comes out at -171 meV/atom. The raw total energy comes out at -2.519 eV/atom.

abc: 13.684 4.883 10.062
angles: 90.00 96.86 90.00
Space group C2/m (No. 12)
Unique sites:
K1 0.000 0.000 0.000
K2 0.165 0.500 0.670
Cd1 0.110 0.500 0.283
Sn1 0.060 0.000 0.398
Sn2 0.214 0.500 0.053

Entry 5:
VASP calculation (GGA-PBE) on a relaxed NpCdRu2 crystal.

Output
The formation energy comes out at 39 meV/atom. The raw total energy comes out at -8.063 eV/atom.

abc: 3.316 3.316 6.523
angles: 90.00 90.00 90.00
Space group P4/mmm (No. 123)
Unique sites:
Np1 0.000 0.000 0.000
Cd1 0.000 0.000 0.500
Ru1 0.500 0.500 0.229

Entry 6:
VASP calculation (GGA-PBE) on a relaxed ZnGa3W crystal.

Output
The formation energy comes out at 160 meV/atom. The raw total energy comes out at -4.502 eV/atom.

abc: 5.514 7.130 4.656
angles: 90.00 90.00 90.00
Space group Pmma (No. 51)
Unique sites:
Zn1 0.250 0.000 0.054
Ga1 0.250 0.182 0.548
Ga2 0.250 0.500 0.004
W1 0.000 0.500 0.500

Entry 7:
VASP calculation (GGA-PBE) on a relaxed NpCdSn2 crystal.

Output
The formation energy comes out at 142 meV/atom. The raw total energy comes out at -5.323 eV/atom.

abc: 7.431 7.431 7.431
angles: 90.00 90.00 90.00
Space group Fm-3m (No. 225)
Unique sites:
Np1 0.000 0.000 0.000
Cd1 0.000 0.000 0.500
Sn1 0.250 0.250 0.250

Entry 8:
VASP calculation (GGA-PBE) on a relaxed KPm3Sm2Te6 crystal.

Output
The raw total energy comes out at -5.019 eV/atom. For the raw formation energy, the calculation gives -133.35 kJ per mole of atoms.

abc: 19.701 4.471 9.138
angles: 90.00 103.59 90.00
Space group C2/m (No. 12)
Unique sites:
K1 0.000 0.000 0.000
Pm1 0.000 0.000 0.500
Pm2 0.161 0.500 0.821
Sm1 0.169 0.500 0.343
Te1 0.004 0.500 0.262
Te2 0.166 0.000 0.582
Te3 0.173 0.000 0.086

Entry 9:
VASP calculation (GGA-PBE) on a relaxed AcNiHg3 crystal.

Output
The formation energy comes out at -188 meV/atom. The raw total energy comes out at -2.347 eV/atom.

abc: 5.053 5.053 5.053
angles: 90.00 90.00 90.00
Space group Pm-3m (No. 221)
Unique sites:
Ac1 0.000 0.000 0.000
Ni1 0.500 0.500 0.500
Hg1 0.000 0.500 0.500

Entry 10:
VASP calculation (GGA-PBE) on a relaxed MgAs4Rh6 crystal.

Output
The formation energy comes out at -533 meV/atom. The raw total energy comes out at -6.378 eV/atom.

abc: 7.3723 7.3723 3.6385
angles: 90.00 90.00 120.00
Space group P-6m2 (No. 187)
Unique sites:
Mg1 0.0000 0.0000 0.0000
As1 0.3333 0.6667 0.0000
As2 0.3756 0.1878 0.5000
Rh1 0.1925 0.3850 0.5000
Rh2 0.5344 0.0688 0.0000

Entry 11:
VASP calculation (GGA-PBE) on a relaxed NdDyErTm crystal.

Output
The formation energy comes out at 117 meV/atom. The raw total energy comes out at -4.484 eV/atom.

abc: 8.013 8.013 8.013
angles: 90.00 90.00 90.00
Space group F-43m (No. 216)
Unique sites:
Nd1 0.000 0.000 0.000
Dy1 0.000 0.000 0.500
Er1 0.250 0.250 0.250
Tm1 0.250 0.250 0.750

- Look up the raw total energy of the second one.
  -8.086 eV/atom

- Which of these has the lowest raw total energy?
  CeAsRuN

- Which value of raw total energy does entry 6 give?
  -4.502 eV/atom

- Which of these has the highest raw total energy?
  AcNiHg3